Here is a relaxed structure of NaSrMn2F8 from the Alexandria database. Energies are from PBE with a Hubbard U.

Output
E_tot   -5.603 eV per atom

CIF file:
```
data_NaSrMn2F8
_chemical_formula_sum 'Na2 Sr2 Mn4 F16'
_symmetry_space_group_name_H-M 'I -4'
_symmetry_Int_Tables_number 82
_cell_length_a 5.548
_cell_length_b 5.548
_cell_length_c 11.341
_cell_angle_alpha 90.00
_cell_angle_beta 90.00
_cell_angle_gamma 90.00
loop_
_symmetry_equiv_pos_as_xyz
'x,y,z'
'y,-x,-z'
'-x,-y,z'
'-y,x,-z'
'x+1/2,y+1/2,z+1/2'
'y+1/2,-x+1/2,-z+1/2'
'-x+1/2,-y+1/2,z+1/2'
'-y+1/2,x+1/2,-z+1/2'
loop_
_atom_site_label
_atom_site_fract_x
_atom_site_fract_y
_atom_site_fract_z
Na1 0.000 0.000 0.000
Sr1 0.000 0.500 0.250
Mn1 0.000 0.000 0.500
Mn2 0.000 0.500 0.750
F1 0.185 0.244 0.425
F2 0.198 0.745 0.838
```